A plane-wave DFT calculation with PBE-GGA was carried out for crystalline SiTcCl3 at its relaxed geometry.

POSCAR file:
```
SiTcCl3
1.0
5.000 0.000 0.000
0.000 5.000 0.000
0.000 0.000 5.000
Si Cl Tc
1 3 1
Direct
0.000 0.000 0.000
0.000 0.500 0.000
0.000 0.000 0.500
0.500 0.000 0.000
0.500 0.500 0.500
```

Properties
Energy (eV/atom): -3.764
Raw formation energy (eV per atom): 0.50
Total moment (μB per formula unit): 4.8
D(E_F) (states/eV per atom): 1.57
Relative energy among the computed polymorphs (meV/atom): 97.5